Compound: TlCoNF2
Source: Alexandria via LeMat-Bulk
Functional: PBE with a Hubbard U
Structure: relaxed

Structure (POSCAR):
```
TlCoNF2
1.0
4.357 0.000 0.000
0.000 4.357 0.000
0.000 0.000 3.573
Tl Co N F
1 1 1 2
direct
0.000 0.000 0.000
0.500 0.500 0.500
0.500 0.500 0.000
0.000 0.500 0.500
0.500 0.000 0.500
```

## Properties
Its raw total energy is -4.555 eV per atom. Its total moment is 2.00 μB/cell.